(1)
A plane-wave DFT calculation with GGA-PBE was carried out for a geometry-optimized La2ThScS4 structure.

Properties
- E_form (uncorrected) (kcal/mol of atoms) = -45.49

a = 6.9778 Å, b = 3.9843 Å, c = 6.9909 Å
α = 90.00°, β = 108.91°, γ = 90.00°
With the nearest neighbours (Å) after each atom.
Positions (direct):
La (0.0000, 0.0000, 0.0000)  6 S 2.87
La (0.0000, 0.5000, 0.5000)  6 S 2.99
Th (0.5000, 0.0000, 0.5000)  6 S 2.82-2.83
Sc (0.5000, 0.5000, 0.0000)  6 S 2.69-2.71
S (0.2670, 0.5000, 0.2404)  1 Sc 2.69, 2 Th 2.83, 3 La 2.87-2.99
S (0.2766, 0.0000, 0.7723)  2 Sc 2.71, 1 Th 2.82, 3 La 2.87-2.99
S (0.7234, 0.0000, 0.2277)  2 Sc 2.71, 1 Th 2.82, 3 La 2.87-2.99
S (0.7330, 0.5000, 0.7596)  1 Sc 2.69, 2 Th 2.83, 3 La 2.87-2.99

=====

(2)
A plane-wave DFT calculation with GGA-PBE was carried out for a geometry-optimized DyBPt5 structure.

Properties
- energy relative to the elements (eV per atom) = -0.628

a = 3.9357 Å, b = 3.9357 Å, c = 7.0935 Å
α = 90.00°, β = 90.00°, γ = 90.00°
With the nearest neighbours (Å) after each atom.
Positions (direct):
Dy (0.0000, 0.0000, 0.0000)  12 Pt 2.78-2.95
B (0.5000, 0.5000, 0.5000)  8 Pt 2.39
Pt (0.0000, 0.5000, 0.3099)  2 B 2.39
Pt (0.0000, 0.5000, 0.6901)  2 B 2.39
Pt (0.5000, 0.0000, 0.3099)  2 B 2.39
Pt (0.5000, 0.0000, 0.6901)  2 B 2.39
Pt (0.5000, 0.5000, 0.0000)  4 Dy 2.78, 8 Pt 2.95

=====

(3)
A plane-wave DFT calculation with GGA-PBE was carried out for a geometry-optimized TlNiSnB2 structure.

Properties
- energy relative to the elements (eV per atom) = 1.567

a = 4.4929 Å, b = 4.4929 Å, c = 4.9425 Å
α = 90.00°, β = 90.00°, γ = 90.00°
With the nearest neighbours (Å) after each atom.
Positions (direct):
Tl (0.0000, 0.0000, 0.0000)  4 Ni 3.18, 8 B 3.34
Ni (0.5000, 0.5000, 0.0000)  2 Sn 2.47
Sn (0.5000, 0.5000, 0.5000)  4 B 2.25, 2 Ni 2.47
B (0.0000, 0.5000, 0.5000)  2 Sn 2.25
B (0.5000, 0.0000, 0.5000)  2 Sn 2.25

=====

Copy entry 1 word for word.
A plane-wave DFT calculation with GGA-PBE was carried out for a geometry-optimized La2ThScS4 structure.

Properties
- E_form (uncorrected) (kcal/mol of atoms) = -45.49

a = 6.9778 Å, b = 3.9843 Å, c = 6.9909 Å
α = 90.00°, β = 108.91°, γ = 90.00°
With the nearest neighbours (Å) after each atom.
Positions (direct):
La (0.0000, 0.0000, 0.0000)  6 S 2.87
La (0.0000, 0.5000, 0.5000)  6 S 2.99
Th (0.5000, 0.0000, 0.5000)  6 S 2.82-2.83
Sc (0.5000, 0.5000, 0.0000)  6 S 2.69-2.71
S (0.2670, 0.5000, 0.2404)  1 Sc 2.69, 2 Th 2.83, 3 La 2.87-2.99
S (0.2766, 0.0000, 0.7723)  2 Sc 2.71, 1 Th 2.82, 3 La 2.87-2.99
S (0.7234, 0.0000, 0.2277)  2 Sc 2.71, 1 Th 2.82, 3 La 2.87-2.99
S (0.7330, 0.5000, 0.7596)  1 Sc 2.69, 2 Th 2.83, 3 La 2.87-2.99